{"formula": "Sr3SbH2", "functional": "PBE", "state": "optimized geometry", "cell": [[11.998, -2.285, 0.000], [11.998, 2.285, 0.000], [-1.681, 0.000, 6.409]], "species": ["Sr", "Sr", "Sr", "Sr", "Sr", "Sr", "Sb", "Sb", "H", "H", "H", "H"], "fractional_positions": [[0.050, 0.050, 0.274], [0.228, 0.228, 0.230], [0.397, 0.397, 0.142], [0.603, 0.603, 0.858], [0.772, 0.772, 0.770], [0.950, 0.950, 0.726], [0.352, 0.352, 0.589], [0.648, 0.648, 0.411], [0.062, 0.062, 0.900], [0.291, 0.291, 0.992], [0.709, 0.709, 0.008], [0.938, 0.938, 0.100]], "spacegroup": "No. 12", "dft_energy_ev_per_atom": -3.2559, "de_polymorph_kcal_per_mol_atoms": 0.97}



{"formula": "SrSbH", "functional": "PBE", "state": "optimized geometry", "cell": [[4.794, 0.000, 0.000], [0.000, 4.794, 0.000], [0.000, 0.000, 7.552]], "species": ["Sr", "Sr", "Sb", "Sb", "H", "H"], "fractional_positions": [[0.000, 0.000, 0.000], [0.500, 0.500, 0.500], [0.000, 0.000, 0.558], [0.500, 0.500, 0.058], [0.000, 0.000, 0.329], [0.500, 0.500, 0.829]], "spacegroup": "No. 107", "dft_energy_ev_per_atom": -3.4811, "de_polymorph_kcal_per_mol_atoms": 2.29}



{"formula": "Sr2TaSbH", "functional": "PBE", "state": "optimized geometry", "cell": [[6.173, 0.000, 0.000], [0.000, 6.173, 0.000], [0.000, 0.000, 5.215]], "species": ["Sr", "Sr", "Ta", "Sb", "H"], "fractional_positions": [[0.000, 0.500, 0.000], [0.500, 0.000, 0.000], [0.000, 0.000, 0.000], [0.000, 0.000, 0.500], [0.500, 0.500, 0.500]], "spacegroup": "No. 123", "dft_energy_ev_per_atom": -3.7985}



{"formula": "SrSbTe2H", "functional": "PBE", "state": "optimized geometry", "cell": [[5.657, 0.000, 0.000], [0.000, 5.657, 0.000], [0.000, 0.000, 4.030]], "species": ["Sr", "Sb", "Te", "Te", "H"], "fractional_positions": [[0.000, 0.000, 0.000], [0.500, 0.500, 0.000], [0.000, 0.500, 0.500], [0.500, 0.000, 0.500], [0.500, 0.500, 0.500]], "spacegroup": "No. 123", "dft_energy_ev_per_atom": -3.4069, "de_polymorph_kcal_per_mol_atoms": 0.00}



{"formula": "SrSbTe2H", "functional": "PBE", "state": "optimized geometry", "cell": [[6.212, 0.000, 0.000], [0.000, 6.212, 0.000], [0.000, 0.000, 6.273]], "species": ["Sr", "Sb", "Te", "Te", "H"], "fractional_positions": [[0.000, 0.000, 0.000], [0.000, 0.000, 0.500], [0.000, 0.500, 0.000], [0.500, 0.000, 0.000], [0.500, 0.500, 0.500]], "spacegroup": "No. 123", "dft_energy_ev_per_atom": -2.3236, "de_polymorph_kcal_per_mol_atoms": 24.98}



{"formula": "Sr2SbTeH", "functional": "PBE", "state": "optimized geometry", "cell": [[5.922, 0.000, 0.000], [0.000, 5.922, 0.000], [0.000, 0.000, 4.061]], "species": ["Sr", "Sr", "Sb", "Te", "H"], "fractional_positions": [[0.000, 0.500, 0.000], [0.500, 0.000, 0.000], [0.000, 0.000, 0.500], [0.500, 0.500, 0.500], [0.500, 0.500, 0.000]], "spacegroup": "No. 123", "dft_energy_ev_per_atom": -3.4571}



{"formula": "Sr2TlSbH", "functional": "PBE", "state": "optimized geometry", "cell": [[5.386, 0.000, 0.000], [0.000, 5.386, 0.000], [0.000, 0.000, 4.705]], "species": ["Sr", "Sr", "Tl", "Sb", "H"], "fractional_positions": [[0.000, 0.500, 0.000], [0.500, 0.000, 0.000], [0.000, 0.000, 0.500], [0.500, 0.500, 0.500], [0.000, 0.000, 0.000]], "spacegroup": "No. 123", "dft_energy_ev_per_atom": -3.1344}



{"formula": "SrVSb2H", "functional": "PBE", "state": "optimized geometry", "cell": [[4.973, 0.000, 0.000], [0.000, 4.973, 0.000], [0.000, 0.000, 6.408]], "species": ["Sr", "V", "Sb", "Sb", "H"], "fractional_positions": [[0.000, 0.000, 0.000], [0.000, 0.000, 0.500], [0.000, 0.500, 0.500], [0.500, 0.000, 0.500], [0.500, 0.500, 0.000]], "spacegroup": "No. 123", "dft_energy_ev_per_atom": -4.1786}



{"formula": "Sr2YSbH", "functional": "PBE", "state": "optimized geometry", "cell": [[4.752, 0.000, 0.000], [0.000, 4.752, 0.000], [0.000, 0.000, 6.245]], "species": ["Sr", "Sr", "Y", "Sb", "H"], "fractional_positions": [[0.000, 0.500, 0.000], [0.500, 0.000, 0.000], [0.000, 0.000, 0.500], [0.500, 0.500, 0.500], [0.500, 0.500, 0.000]], "spacegroup": "No. 123", "dft_energy_ev_per_atom": -3.8148}



{"formula": "SrYSb2H", "functional": "PBE", "state": "optimized geometry", "cell": [[5.455, 0.000, 0.000], [0.000, 5.455, 0.000], [0.000, 0.000, 4.162]], "species": ["Sr", "Y", "Sb", "Sb", "H"], "fractional_positions": [[0.000, 0.000, 0.000], [0.500, 0.500, 0.000], [0.000, 0.500, 0.500], [0.500, 0.000, 0.500], [0.500, 0.500, 0.500]], "spacegroup": "No. 123", "dft_energy_ev_per_atom": -4.4591}



{"formula": "Sr2ZnSbH", "functional": "PBE", "state": "optimized geometry", "cell": [[5.254, 0.000, 0.000], [0.000, 5.254, 0.000], [0.000, 0.000, 4.503]], "species": ["Sr", "Sr", "Zn", "Sb", "H"], "fractional_positions": [[0.000, 0.500, 0.000], [0.500, 0.000, 0.000], [0.000, 0.000, 0.500], [0.500, 0.500, 0.500], [0.000, 0.000, 0.000]], "spacegroup": "No. 123", "dft_energy_ev_per_atom": -2.9449}



{"formula": "SrZn2SbH2", "functional": "PBE", "state": "optimized geometry", "cell": [[6.360, 0.000, 0.000], [0.000, 5.986, 0.000], [-2.966, 0.000, 6.009]], "species": ["Sr", "Sr", "Zn", "Zn", "Zn", "Zn", "Sb", "Sb", "H", "H", "H", "H"], "fractional_positions": [[0.231, 0.250, 0.022], [0.769, 0.750, 0.978], [0.232, 0.510, 0.456], [0.232, 0.990, 0.456], [0.768, 0.010, 0.544], [0.768, 0.490, 0.544], [0.201, 0.750, 0.791], [0.799, 0.250, 0.209], [0.191, 0.750, 0.280], [0.378, 0.250, 0.465], [0.622, 0.750, 0.535], [0.809, 0.250, 0.720]], "spacegroup": "No. 11", "dft_energy_ev_per_atom": -2.6828}